[1]
VASP calculation (GGA-PBE) on a relaxed YTa2Ti crystal.

Volume   20.1 Å³/atom
Calculated density   10.29 Mg/m³
Energy relative to the lowest polymorph listed for this composition   0 meV per atom
Energy relative to the elements   509 meV/atom

Geometry as CIF:
```
data_YTa2Ti
_chemical_formula_sum 'Y1 Ta2 Ti1'
_cell_length_a 4.847
_cell_length_b 4.847
_cell_length_c 4.847
_cell_angle_alpha 60.00
_cell_angle_beta 60.00
_cell_angle_gamma 60.00
_space_group_name_H-M_alt 'P 1'
_space_group_IT_number 1
loop_
_space_group_symop_operation_xyz
'x,y,z'
loop_
_atom_site_label
_atom_site_fract_x
_atom_site_fract_y
_atom_site_fract_z
_atom_site_occupancy
Y1 0.500 0.500 0.500 1
Ti1 0.000 0.000 0.000 1
Ta1 0.250 0.250 0.250 1
Ta2 0.750 0.750 0.750 1
```


[2]
VASP calculation (GGA-PBE) on a relaxed YTa3Ti crystal.

Volume   23.4 Å³/atom
Calculated density   9.63 Mg/m³
Energy relative to the lowest polymorph listed for this composition   1252 meV per atom
Energy relative to the elements   2284 meV/atom

Geometry as CIF:
```
data_YTa3Ti
_chemical_formula_sum 'Y1 Ta3 Ti1'
_cell_length_a 4.893
_cell_length_b 4.893
_cell_length_c 4.893
_cell_angle_alpha 90.00
_cell_angle_beta 90.00
_cell_angle_gamma 90.00
_space_group_name_H-M_alt 'P 1'
_space_group_IT_number 1
loop_
_space_group_symop_operation_xyz
'x,y,z'
loop_
_atom_site_label
_atom_site_fract_x
_atom_site_fract_y
_atom_site_fract_z
_atom_site_occupancy
Y1 0.000 0.000 0.000 1
Ti1 0.500 0.500 0.500 1
Ta1 0.000 0.500 0.000 1
Ta2 0.000 0.000 0.500 1
Ta3 0.500 0.000 0.000 1
```


[3]
VASP calculation (GGA-PBE) on a relaxed YTa2Ti2 crystal.

Volume   20.5 Å³/atom
Calculated density   8.88 Mg/m³
Energy relative to the lowest polymorph listed for this composition   20 meV per atom
Energy relative to the elements   272 meV/atom

Geometry as CIF:
```
data_YTa2Ti2
_chemical_formula_sum 'Y2 Ta4 Ti4'
_cell_length_a 8.057
_cell_length_b 8.057
_cell_length_c 3.150
_cell_angle_alpha 90.00
_cell_angle_beta 90.00
_cell_angle_gamma 90.00
_space_group_name_H-M_alt 'P 1'
_space_group_IT_number 1
loop_
_space_group_symop_operation_xyz
'x,y,z'
loop_
_atom_site_label
_atom_site_fract_x
_atom_site_fract_y
_atom_site_fract_z
_atom_site_occupancy
Y1 0.000 0.000 0.000 1
Y2 0.500 0.500 0.000 1
Ti1 0.143 0.643 0.500 1
Ti2 0.643 0.857 0.500 1
Ti3 0.857 0.357 0.500 1
Ti4 0.357 0.143 0.500 1
Ta1 0.359 0.859 0.000 1
Ta2 0.859 0.641 0.000 1
Ta3 0.641 0.141 0.000 1
Ta4 0.141 0.359 0.000 1
```


[4]
VASP calculation (GGA-PBE) on a relaxed YTa2Ti2 crystal.

Volume   20.4 Å³/atom
Calculated density   8.91 Mg/m³
Energy relative to the lowest polymorph listed for this composition   0 meV per atom
Energy relative to the elements   252 meV/atom

Geometry as CIF:
```
data_YTa2Ti2
_chemical_formula_sum 'Y2 Ta4 Ti4'
_cell_length_a 7.791
_cell_length_b 7.791
_cell_length_c 3.357
_cell_angle_alpha 90.00
_cell_angle_beta 90.00
_cell_angle_gamma 90.00
_space_group_name_H-M_alt 'P 1'
_space_group_IT_number 1
loop_
_space_group_symop_operation_xyz
'x,y,z'
loop_
_atom_site_label
_atom_site_fract_x
_atom_site_fract_y
_atom_site_fract_z
_atom_site_occupancy
Y1 0.000 0.000 0.000 1
Y2 0.500 0.500 0.000 1
Ti1 0.367 0.867 0.000 1
Ti2 0.867 0.633 0.000 1
Ti3 0.633 0.133 0.000 1
Ti4 0.133 0.367 0.000 1
Ta1 0.150 0.650 0.500 1
Ta2 0.650 0.850 0.500 1
Ta3 0.850 0.350 0.500 1
Ta4 0.350 0.150 0.500 1
```


[5]
VASP calculation (GGA-PBE) on a relaxed TaTi4Zn5 crystal.

Volume   15.7 Å³/atom
Calculated density   7.41 Mg/m³
Energy relative to the elements   -153 meV/atom

Geometry as CIF:
```
data_TaTi4Zn5
_chemical_formula_sum 'Ta1 Ti4 Zn5'
_cell_length_a 2.840
_cell_length_b 2.840
_cell_length_c 19.420
_cell_angle_alpha 90.00
_cell_angle_beta 90.00
_cell_angle_gamma 90.00
_space_group_name_H-M_alt 'P 1'
_space_group_IT_number 1
loop_
_space_group_symop_operation_xyz
'x,y,z'
loop_
_atom_site_label
_atom_site_fract_x
_atom_site_fract_y
_atom_site_fract_z
_atom_site_occupancy
Ta1 0.000 0.000 0.000 1
Ti1 0.000 0.000 0.203 1
Ti2 0.000 0.000 0.401 1
Ti3 0.000 0.000 0.599 1
Ti4 0.000 0.000 0.797 1
Zn1 0.500 0.500 0.103 1
Zn2 0.500 0.500 0.302 1
Zn3 0.500 0.500 0.500 1
Zn4 0.500 0.500 0.698 1
Zn5 0.500 0.500 0.897 1
```


[6]
VASP calculation (GGA-PBE) on a relaxed TaTiZn6 crystal.

Volume   15.0 Å³/atom
Calculated density   8.57 Mg/m³
Energy relative to the elements   -69 meV/atom

Geometry as CIF:
```
data_TaTiZn6
_chemical_formula_sum 'Ta1 Ti1 Zn6'
_cell_length_a 4.349
_cell_length_b 5.653
_cell_length_c 5.653
_cell_angle_alpha 120.05
_cell_angle_beta 90.00
_cell_angle_gamma 90.00
_space_group_name_H-M_alt 'P 1'
_space_group_IT_number 1
loop_
_space_group_symop_operation_xyz
'x,y,z'
loop_
_atom_site_label
_atom_site_fract_x
_atom_site_fract_y
_atom_site_fract_z
_atom_site_occupancy
Ta1 0.000 0.083 0.917 1
Ti1 0.500 0.417 0.583 1
Zn1 0.000 0.080 0.415 1
Zn2 0.000 0.585 0.920 1
Zn3 0.000 0.585 0.415 1
Zn4 0.500 0.424 0.087 1
Zn5 0.500 0.913 0.576 1
Zn6 0.500 0.912 0.088 1
```


[7]
VASP calculation (GGA-PBE) on a relaxed Ta2TiZn2 crystal.

Volume   16.5 Å³/atom
Calculated density   10.85 Mg/m³
Energy relative to the elements   125 meV/atom

Geometry as CIF:
```
data_Ta2TiZn2
_chemical_formula_sum 'Ta4 Ti2 Zn4'
_cell_length_a 6.848
_cell_length_b 6.848
_cell_length_c 3.529
_cell_angle_alpha 90.00
_cell_angle_beta 90.00
_cell_angle_gamma 90.00
_space_group_name_H-M_alt 'P 1'
_space_group_IT_number 1
loop_
_space_group_symop_operation_xyz
'x,y,z'
loop_
_atom_site_label
_atom_site_fract_x
_atom_site_fract_y
_atom_site_fract_z
_atom_site_occupancy
Zn1 0.374 0.874 0.000 1
Zn2 0.874 0.626 0.000 1
Zn3 0.626 0.126 0.000 1
Zn4 0.126 0.374 0.000 1
Ti1 0.000 0.000 0.000 1
Ti2 0.500 0.500 0.000 1
Ta1 0.175 0.675 0.500 1
Ta2 0.675 0.825 0.500 1
Ta3 0.825 0.325 0.500 1
Ta4 0.325 0.175 0.500 1
```


[8]
VASP calculation (GGA-PBE) on a relaxed TaTi2Zn3 crystal.

Volume   15.7 Å³/atom
Calculated density   8.31 Mg/m³
Energy relative to the elements   -128 meV/atom

Geometry as CIF:
```
data_TaTi2Zn3
_chemical_formula_sum 'Ta1 Ti2 Zn3'
_cell_length_a 2.837
_cell_length_b 2.837
_cell_length_c 11.734
_cell_angle_alpha 90.00
_cell_angle_beta 90.00
_cell_angle_gamma 90.00
_space_group_name_H-M_alt 'P 1'
_space_group_IT_number 1
loop_
_space_group_symop_operation_xyz
'x,y,z'
loop_
_atom_site_label
_atom_site_fract_x
_atom_site_fract_y
_atom_site_fract_z
_atom_site_occupancy
Ta1 0.500 0.500 0.500 1
Ti1 0.500 0.500 0.836 1
Ti2 0.500 0.500 0.164 1
Zn1 0.000 0.000 0.000 1
Zn2 0.000 0.000 0.671 1
Zn3 0.000 0.000 0.329 1
```


[9]
VASP calculation (GGA-PBE) on a relaxed TaTiZn2 crystal.

Volume   16.5 Å³/atom
Calculated density   9.07 Mg/m³
Energy relative to the elements   60 meV/atom

Geometry as CIF:
```
data_TaTiZn2
_chemical_formula_sum 'Ta1 Ti1 Zn2'
_cell_length_a 2.830
_cell_length_b 2.830
_cell_length_c 9.632
_cell_angle_alpha 81.55
_cell_angle_beta 81.55
_cell_angle_gamma 60.00
_space_group_name_H-M_alt 'P 1'
_space_group_IT_number 1
loop_
_space_group_symop_operation_xyz
'x,y,z'
loop_
_atom_site_label
_atom_site_fract_x
_atom_site_fract_y
_atom_site_fract_z
_atom_site_occupancy
Zn1 0.251 0.251 0.246 1
Zn2 0.749 0.749 0.754 1
Ti1 0.000 0.000 0.000 1
Ta1 0.500 0.500 0.500 1
```


[10]
VASP calculation (GGA-PBE) on a relaxed TaTi2Zn2 crystal.

Volume   16.4 Å³/atom
Calculated density   8.25 Mg/m³
Energy relative to the lowest polymorph listed for this composition   289 meV per atom
Energy relative to the elements   218 meV/atom

Geometry as CIF:
```
data_TaTi2Zn2
_chemical_formula_sum 'Ta1 Ti2 Zn2'
_cell_length_a 3.700
_cell_length_b 3.700
_cell_length_c 6.536
_cell_angle_alpha 73.56
_cell_angle_beta 73.56
_cell_angle_gamma 90.00
_space_group_name_H-M_alt 'P 1'
_space_group_IT_number 1
loop_
_space_group_symop_operation_xyz
'x,y,z'
loop_
_atom_site_label
_atom_site_fract_x
_atom_site_fract_y
_atom_site_fract_z
_atom_site_occupancy
Zn1 0.405 0.405 0.190 1
Zn2 0.595 0.595 0.810 1
Ti1 0.750 0.250 0.500 1
Ti2 0.250 0.750 0.500 1
Ta1 0.000 0.000 0.000 1
```